Below is an optimized crystal structure of SnHg2Au2, with properties calculated at the PBE-GGA level.

abc: 3.4677 7.4840 9.7170
angles: 89.92 89.89 76.80
Closest atoms and distances in Å follow each position.
Fractional positions:
Sn1 0.0000 0.0000 0.0000  4 Au 2.74-2.76
Sn2 0.1796 0.6513 0.5003  4 Au 2.74-2.76
Hg1 0.4380 0.1279 0.6728  4 Au 2.90-2.94
Hg2 0.4383 0.1291 0.3268  4 Au 2.90-2.94
Hg3 0.7407 0.5235 0.1734  4 Au 2.90-2.94
Hg4 0.7423 0.5222 0.8275  4 Au 2.90-2.94
Au1 0.0901 0.8252 0.7504  2 Sn 2.74, 4 Hg 2.90-2.91
Au2 0.0896 0.8261 0.2504  2 Sn 2.74, 4 Hg 2.90-2.91
Au3 0.3556 0.2937 0.0014  2 Sn 2.75-2.76, 4 Hg 2.93-2.94
Au4 0.8240 0.3576 0.5003  2 Sn 2.75-2.76, 4 Hg 2.93-2.94

Computed properties:
SG: P1, No. 1
Excess energy over the best structure of this formula in the dataset, meV/atom: 0
Mass density, g cm⁻³: 12.36
E_form, eV per formula unit: -0.1

---

Below is an optimized crystal structure of CaMnZn, with properties calculated at the PBE-GGA level.

abc: 4.6904 4.6904 4.6904
angles: 60.00 60.00 60.00
Closest atoms and distances in Å follow each position.
Fractional positions:
Ca1 0.0000 0.0000 0.0000  4 Zn 2.87
Mn1 0.5000 0.5000 0.5000  4 Zn 2.87
Zn1 0.7500 0.7500 0.7500  4 Ca 2.87, 4 Mn 2.87

Computed properties:
SG: F-43m, No. 216
Mass density, g cm⁻³: 3.65
E_form, eV per formula unit: 1.1

---

Number 1: total moment 0.00 μB per cell. Number 2: total moment 3.65 μB per cell.